# 1
The following is a GGA-PBE calculation of a geometry-optimized Re2SnO8 structure, from the Open Quantum Materials Database.

Unit cell a=5.916 b=5.994 c=5.994 alpha=119.99 beta=90.00 gamma=90.01
Element x y z (fractional)
O  0.766  0.355  0.115
O  0.766  0.885  0.239
O  0.376  0.667  0.333
O  0.234  0.239  0.355
O  0.766  0.761  0.645
O  0.624  0.333  0.667
O  0.234  0.115  0.761
O  0.234  0.645  0.885
Re  0.668  0.667  0.333
Re  0.332  0.333  0.667
Sn  0.000  0.000  0.000

- Space group: P-3 (147)

***

# 2
The following is a GGA-PBE calculation of a geometry-optimized TeW2CSe structure, from the Open Quantum Materials Database.

Unit cell a=3.392 b=3.392 c=9.558 alpha=90.00 beta=90.00 gamma=120.00
Element x y z (fractional)
C  0.000  0.000  0.998
Se  0.667  0.333  0.706
Te  0.333  0.667  0.313
W  0.667  0.333  0.095
W  0.333  0.667  0.888

- Space group: P3m1 (156)

***

# 3
The following is a GGA-PBE calculation of a geometry-optimized GdDyAs2Pt2 structure, from the Open Quantum Materials Database.

Unit cell a=4.304 b=4.304 c=15.304 alpha=90.00 beta=90.00 gamma=120.00
Element x y z (fractional)
As  0.333  0.667  0.117
As  0.333  0.667  0.383
As  0.667  0.333  0.617
As  0.667  0.333  0.883
Dy  0.000  0.000  0.250
Dy  0.000  0.000  0.750
Gd  0.000  0.000  0.000
Gd  0.000  0.000  0.500
Pt  0.667  0.333  0.138
Pt  0.667  0.333  0.362
Pt  0.333  0.667  0.638
Pt  0.333  0.667  0.862

- Space group: P6_3/mmc (194)

***

| no. | VASP energy (eV/atom) |
| --- | --- |
| 1 | -7.689 |
| 2 | -8.390 |
| 3 | -6.355 |